Record 1
{
  "formula": "TbCd3",
  "functional": "PBE-GGA",
  "state": "relaxed",
  "lattice": [[-2.425, -0.210, -6.070], [5.928, -2.701, 0.578], [-2.069, -4.331, 0.977]],
  "species": ["Cd", "Tb", "Cd", "Cd", "Cd", "Cd", "Tb", "Cd"],
  "fractional_positions": [[0.174, 0.826, 0.250], [0.637, 0.363, 0.250], [0.877, 0.689, 0.750], [0.689, 0.877, 0.250], [0.826, 0.174, 0.750], [0.311, 0.123, 0.750], [0.363, 0.637, 0.750], [0.123, 0.311, 0.250]],
  "total_energy_ha_per_atom": -0.07834
}

Record 2
{
  "formula": "Tb3Cd5",
  "functional": "PBE-GGA",
  "state": "relaxed",
  "lattice": [[-2.347, -0.089, -4.523], [-1.262, -6.290, 0.778], [-4.948, 3.320, 2.502]],
  "species": ["Tb", "Tb", "Cd", "Cd", "Tb", "Cd", "Cd", "Cd"],
  "fractional_positions": [[0.000, 0.500, 0.500], [0.500, 0.232, 0.768], [0.000, 0.000, 0.500], [0.500, 0.258, 0.258], [0.500, 0.768, 0.232], [0.000, 0.500, 0.000], [0.000, 0.000, 0.000], [0.500, 0.742, 0.742]],
  "polymorph_energy_mev_per_atom": 0
}

Record 3
{
  "formula": "Tb3Cd4",
  "functional": "PBE-GGA",
  "state": "relaxed",
  "lattice": [[6.455, 0.000, 0.000], [-2.152, 8.058, 0.000], [-2.152, -4.029, 6.979]],
  "species": ["Cd", "Tb", "Cd", "Cd", "Tb", "Tb", "Tb", "Tb", "Cd", "Cd", "Tb", "Cd", "Cd", "Cd"],
  "fractional_positions": [[0.933, 0.700, 0.551], [0.261, 0.137, 0.729], [0.767, 0.148, 0.700], [0.067, 0.300, 0.449], [0.876, 0.409, 0.137], [0.124, 0.591, 0.863], [0.468, 0.729, 0.591], [0.739, 0.863, 0.271], [0.000, 0.000, 0.000], [0.618, 0.551, 0.852], [0.532, 0.271, 0.409], [0.233, 0.852, 0.300], [0.382, 0.449, 0.148], [0.500, 0.000, 0.000]],
  "polymorph_energy_mev_per_atom": 0
}

Record 4
{
  "formula": "Tb3Cd7",
  "functional": "PBE-GGA",
  "state": "relaxed",
  "lattice": [[4.710, 0.000, -1.445], [-0.722, 5.990, -2.352], [0.098, -0.166, 8.720]],
  "species": ["Tb", "Cd", "Tb", "Tb", "Cd", "Cd", "Cd", "Cd", "Cd", "Cd"],
  "fractional_positions": [[0.000, 0.000, 0.000], [0.802, 0.714, 0.604], [0.794, 0.219, 0.588], [0.206, 0.781, 0.412], [0.391, 0.632, 0.783], [0.000, 0.500, 0.000], [0.590, 0.840, 0.179], [0.410, 0.160, 0.821], [0.198, 0.286, 0.396], [0.609, 0.368, 0.217]],
  "total_energy_ha_per_atom": -0.08440
}

Record 5
{
  "formula": "Tb3Cd5",
  "functional": "PBE-GGA",
  "state": "relaxed",
  "lattice": [[-1.423, -3.515, -1.011], [-0.253, 2.260, -7.504], [6.451, -3.431, 2.846]],
  "species": ["Tb", "Cd", "Cd", "Cd", "Cd", "Tb", "Cd", "Tb"],
  "fractional_positions": [[0.500, 0.392, 0.392], [0.000, 0.232, 0.000], [0.000, 0.667, 0.333], [0.000, 0.000, 0.232], [0.000, 0.768, 0.768], [0.500, 0.608, 0.000], [0.000, 0.333, 0.667], [0.500, 0.000, 0.608]],
  "polymorph_energy_mev_per_atom": 48
}

Record 6
{
  "formula": "Tb5Cd6",
  "functional": "PBE-GGA",
  "state": "relaxed",
  "lattice": [[5.066, 0.006, -1.568], [-0.841, 6.725, -2.697], [0.006, -0.351, 8.987]],
  "species": ["Cd", "Tb", "Cd", "Tb", "Tb", "Cd", "Cd", "Tb", "Tb", "Cd", "Cd"],
  "fractional_positions": [[0.500, 0.782, 0.000], [0.682, 0.182, 0.364], [0.151, 0.370, 0.302], [0.000, 0.500, 0.000], [0.338, 0.338, 0.677], [0.151, 0.932, 0.302], [0.849, 0.630, 0.698], [0.662, 0.662, 0.323], [0.318, 0.818, 0.636], [0.849, 0.068, 0.698], [0.500, 0.218, 0.000]],
  "total_energy_ha_per_atom": -0.10341
}

Record 7
{
  "formula": "Tb2Cd5",
  "functional": "PBE-GGA",
  "state": "relaxed",
  "lattice": [[1.878, 5.191, -3.752], [1.919, -4.603, -5.407], [-8.373, 0.128, 1.923]],
  "species": ["Cd", "Tb", "Tb", "Cd", "Tb", "Cd", "Cd", "Cd", "Cd", "Cd", "Cd", "Cd", "Cd", "Tb"],
  "fractional_positions": [[0.750, 0.500, 0.000], [0.602, 0.292, 0.205], [0.398, 0.708, 0.795], [0.482, 0.732, 0.464], [0.102, 0.913, 0.205], [0.018, 0.268, 0.536], [0.876, 0.639, 0.752], [0.982, 0.732, 0.464], [0.250, 0.500, 0.000], [0.124, 0.361, 0.248], [0.624, 0.887, 0.248], [0.376, 0.113, 0.752], [0.518, 0.268, 0.536], [0.898, 0.087, 0.795]],
  "total_energy_ha_per_atom": -0.08181
}

Record 8
{
  "formula": "Tb2Cd3",
  "functional": "PBE-GGA",
  "state": "relaxed",
  "lattice": [[3.419, 0.000, -0.563], [0.000, 4.968, 0.000], [0.699, 0.000, 14.912]],
  "species": ["Tb", "Tb", "Cd", "Tb", "Cd", "Tb", "Cd", "Cd", "Cd", "Cd"],
  "fractional_positions": [[0.715, 0.250, 0.430], [0.285, 0.750, 0.570], [0.976, 0.750, 0.953], [0.574, 0.750, 0.149], [0.174, 0.750, 0.348], [0.426, 0.250, 0.851], [0.879, 0.750, 0.759], [0.826, 0.250, 0.652], [0.024, 0.250, 0.047], [0.121, 0.250, 0.241]],
  "polymorph_energy_mev_per_atom": 0
}

Record 9
{
  "formula": "Tb3Cd11",
  "functional": "PBE-GGA",
  "state": "relaxed",
  "lattice": [[-0.656, 0.566, -4.691], [-8.686, 0.401, -1.163], [-1.436, 8.572, -1.191]],
  "species": ["Cd", "Cd", "Cd", "Tb", "Cd", "Cd", "Tb", "Tb", "Cd", "Cd", "Cd", "Cd", "Cd", "Cd"],
  "fractional_positions": [[0.000, 0.500, 0.500], [0.851, 0.872, 0.426], [0.363, 0.265, 0.009], [0.286, 0.714, 0.714], [0.149, 0.128, 0.574], [0.500, 0.661, 0.339], [0.000, 0.000, 0.000], [0.714, 0.286, 0.286], [0.149, 0.574, 0.128], [0.363, 0.009, 0.265], [0.637, 0.735, 0.991], [0.500, 0.339, 0.661], [0.851, 0.426, 0.872], [0.637, 0.991, 0.735]],
  "total_energy_ha_per_atom": -0.07085
}

Record 10
{
  "formula": "Tb5Cd",
  "functional": "PBE-GGA",
  "state": "relaxed",
  "lattice": [[-3.014, -2.189, -0.453], [0.022, -1.982, -6.104], [3.498, -7.837, -0.952]],
  "species": ["Tb", "Tb", "Tb", "Tb", "Tb", "Cd"],
  "fractional_positions": [[0.330, 0.030, 0.310], [0.647, 0.560, 0.146], [0.670, 0.970, 0.690], [0.000, 0.500, 0.500], [0.353, 0.440, 0.854], [0.000, 0.000, 0.000]],
  "polymorph_energy_mev_per_atom": 0
}

Record 11
{
  "formula": "Tb2Cd17",
  "functional": "PBE-GGA",
  "state": "relaxed",
  "lattice": [[7.649, -0.008, -0.007], [1.076, 7.573, -0.007], [1.076, 0.933, 7.516]],
  "species": ["Cd", "Cd", "Cd", "Cd", "Cd", "Cd", "Cd", "Cd", "Tb", "Cd", "Cd", "Tb", "Cd", "Cd", "Cd", "Cd", "Cd", "Cd", "Cd"],
  "fractional_positions": [[0.898, 0.898, 0.898], [0.361, 0.838, 0.361], [0.000, 0.500, 0.000], [0.639, 0.162, 0.639], [0.361, 0.361, 0.838], [0.000, 0.302, 0.698], [0.639, 0.639, 0.162], [0.000, 0.698, 0.302], [0.671, 0.671, 0.671], [0.698, 0.000, 0.302], [0.302, 0.698, 0.000], [0.329, 0.329, 0.329], [0.162, 0.639, 0.639], [0.838, 0.361, 0.361], [0.698, 0.302, 0.000], [0.302, 0.000, 0.698], [0.500, 0.000, 0.000], [0.102, 0.102, 0.102], [0.000, 0.000, 0.500]],
  "total_energy_ha_per_atom": -0.05191
}

Record 12
{
  "formula": "Tb8Cd",
  "functional": "PBE-GGA",
  "state": "relaxed",
  "lattice": [[-0.515, -2.390, -2.806], [1.064, -7.803, 3.982], [-8.698, -1.446, 0.360]],
  "species": ["Tb", "Tb", "Cd", "Tb", "Tb", "Tb", "Tb", "Tb", "Tb"],
  "fractional_positions": [[0.658, 0.000, 0.684], [0.342, 0.000, 0.316], [0.000, 0.000, 0.000], [0.000, 0.664, 0.336], [0.000, 0.336, 0.664], [0.336, 0.664, 0.664], [0.342, 0.316, 0.000], [0.664, 0.336, 0.336], [0.658, 0.684, 0.000]],
  "polymorph_energy_mev_per_atom": 36
}

Record 13
{
  "formula": "Tb2Cd3",
  "functional": "PBE-GGA",
  "state": "relaxed",
  "lattice": [[6.059, 0.000, 0.000], [0.000, 7.078, 0.000], [-3.030, -3.539, 6.347]],
  "species": ["Tb", "Tb", "Tb", "Cd", "Cd", "Tb", "Cd", "Cd", "Cd", "Cd"],
  "fractional_positions": [[0.323, 0.098, 0.646], [0.823, 0.548, 0.646], [0.177, 0.452, 0.354], [0.419, 0.594, 0.837], [0.581, 0.406, 0.163], [0.677, 0.902, 0.354], [0.750, 0.000, 0.000], [0.081, 0.757, 0.163], [0.250, 0.000, 0.000], [0.919, 0.243, 0.837]],
  "polymorph_energy_mev_per_atom": 188
}

Record 14
{
  "formula": "Tb5Cd2",
  "functional": "PBE-GGA",
  "state": "relaxed",
  "lattice": [[7.403, 0.000, 0.000], [0.000, 6.856, 0.434], [-3.701, -0.519, 8.122]],
  "species": ["Tb", "Cd", "Tb", "Tb", "Tb", "Cd", "Tb", "Tb", "Cd", "Tb", "Tb", "Tb", "Tb", "Cd"],
  "fractional_positions": [[0.251, 0.502, 0.188], [0.358, 0.001, 0.230], [0.499, 0.250, 0.000], [0.749, 0.498, 0.812], [0.273, 0.249, 0.541], [0.642, 0.999, 0.770], [0.937, 0.002, 0.188], [0.063, 0.998, 0.812], [0.872, 0.501, 0.230], [0.501, 0.750, 0.000], [0.268, 0.749, 0.541], [0.727, 0.751, 0.459], [0.732, 0.251, 0.459], [0.128, 0.499, 0.770]],
  "total_energy_ha_per_atom": -0.13535
}

Record 15
{
  "formula": "Tb2CdTc",
  "functional": "PBE-GGA",
  "state": "relaxed",
  "lattice": [[3.440, 0.000, 0.000], [1.720, 2.979, 0.000], [1.720, 0.993, 10.546]],
  "species": ["Tb", "Tc", "Tb", "Cd"],
  "fractional_positions": [[0.896, 0.896, 0.311], [0.500, 0.500, 0.500], [0.104, 0.104, 0.689], [0.000, 0.000, 0.000]],
  "total_energy_ha_per_atom": -0.18021
}

Record 16
{
  "formula": "Tb8Cd2Tc",
  "functional": "PBE-GGA",
  "state": "relaxed",
  "lattice": [[-1.371, -5.246, 0.131], [4.820, -1.135, 4.952], [-6.935, 4.705, 3.591]],
  "species": ["Cd", "Tb", "Tb", "Tb", "Tc", "Cd", "Tb", "Tb", "Tb", "Tb", "Tb"],
  "fractional_positions": [[0.816, 0.301, 0.632], [0.194, 0.274, 0.389], [0.405, 0.584, 0.810], [0.020, 0.787, 0.040], [0.500, 0.000, 0.000], [0.184, 0.699, 0.368], [0.348, 0.057, 0.696], [0.652, 0.943, 0.304], [0.595, 0.416, 0.190], [0.806, 0.726, 0.611], [0.980, 0.213, 0.960]],
  "total_energy_ha_per_atom": -0.16883
}

Record 17
{
  "formula": "Tb6CdTc",
  "functional": "PBE-GGA",
  "state": "relaxed",
  "lattice": [[6.442, 0.503, 0.000], [2.008, 7.206, 0.000], [1.004, 3.603, 5.514]],
  "species": ["Tb", "Tb", "Tb", "Tb", "Tb", "Tc", "Tb", "Cd"],
  "fractional_positions": [[0.746, 0.496, 0.623], [0.736, 0.729, 0.000], [0.264, 0.271, 0.000], [0.254, 0.881, 0.623], [0.254, 0.504, 0.377], [0.500, 0.500, 0.000], [0.746, 0.119, 0.377], [0.000, 0.000, 0.000]],
  "total_energy_ha_per_atom": -0.17545
}

Record 18
{
  "formula": "Tb5Cd2Tc",
  "functional": "PBE-GGA",
  "state": "relaxed",
  "lattice": [[-4.243, 0.880, 2.771], [-2.920, -5.250, -2.804], [4.389, -7.261, 9.024]],
  "species": ["Cd", "Tb", "Tb", "Tb", "Tc", "Cd", "Tb", "Tb", "Cd", "Tb", "Tc", "Cd", "Tb", "Tb", "Tb", "Tb"],
  "fractional_positions": [[0.500, 0.129, 0.859], [0.000, 0.500, 0.500], [0.500, 0.342, 0.101], [0.500, 0.842, 0.399], [0.000, 0.000, 0.500], [0.500, 0.629, 0.641], [0.000, 0.000, 0.000], [0.000, 0.374, 0.786], [0.500, 0.371, 0.359], [0.000, 0.626, 0.214], [0.000, 0.500, 0.000], [0.500, 0.871, 0.141], [0.000, 0.874, 0.714], [0.000, 0.126, 0.286], [0.500, 0.158, 0.601], [0.500, 0.658, 0.899]],
  "total_energy_ha_per_atom": -0.16849
}

Record 19
{
  "formula": "Tb2CdTc",
  "functional": "PBE-GGA",
  "state": "relaxed",
  "lattice": [[-1.944, 2.933, 0.154], [-0.992, -0.830, 3.276], [5.958, 3.802, 2.766]],
  "species": ["Tc", "Tb", "Cd", "Tb"],
  "fractional_positions": [[0.500, 0.500, 0.000], [0.000, 0.000, 0.785], [0.500, 0.500, 0.500], [0.000, 0.000, 0.215]],
  "total_energy_ha_per_atom": -0.19497
}

Record 20
{
  "formula": "Tb6Cd3Tc",
  "functional": "PBE-GGA",
  "state": "relaxed",
  "lattice": [[5.346, 0.000, 0.000], [0.000, 8.647, -2.918], [0.000, -0.005, 11.425]],
  "species": ["Tc", "Cd", "Tb", "Cd", "Tb", "Tb", "Tb", "Tb", "Cd", "Tb", "Cd", "Tb", "Tb", "Cd", "Tb", "Cd", "Tb", "Tb", "Tb", "Tc"],
  "fractional_positions": [[0.250, 0.964, 0.597], [0.250, 0.413, 0.781], [0.250, 0.105, 0.852], [0.250, 0.508, 0.369], [0.750, 0.895, 0.148], [0.250, 0.688, 0.664], [0.750, 0.312, 0.336], [0.250, 0.122, 0.156], [0.750, 0.229, 0.028], [0.750, 0.535, 0.916], [0.750, 0.587, 0.219], [0.750, 0.878, 0.844], [0.750, 0.153, 0.669], [0.250, 0.771, 0.972], [0.250, 0.219, 0.496], [0.750, 0.492, 0.631], [0.250, 0.465, 0.084], [0.750, 0.781, 0.504], [0.250, 0.847, 0.331], [0.750, 0.036, 0.403]],
  "total_energy_ha_per_atom": -0.15712
}